PBE-GGA TlSnP2O8, relaxed; E_form (uncorrected) = -1.785 eV per atom; symmetry = R-3, No. 148; ρ = 5.2 Mg/m³; DOS(E_F) = 3.6 states/eV per cell; M_tot = 0.24 μB/f.u.
1.0
2.446 1.412 7.956
-2.446 1.412 7.956
0.000 -2.824 7.956
Tl Sn P O
1 1 2 8
Cartesian
0.000 0.000 0.000 Tl
0.000 0.000 11.934 Sn
0.000 0.000 5.713 P
0.000 0.000 18.155 P
-0.977 -1.317 10.682 O
-1.629 0.188 13.186 O
0.000 0.000 7.274 O
-0.652 1.505 10.682 O
0.652 -1.505 13.186 O
0.000 0.000 16.594 O
1.629 -0.188 10.682 O
0.977 1.317 13.186 O